The following is a DFT calculation (GGA+U) of an optimized crystal structure of MgFeF.

a = 3.222 Å, b = 7.431 Å, c = 3.776 Å
α = 90.00°, β = 90.00°, γ = 90.00°
Last column: magnetic moment on the atom in μB.
Fractional coordinates of all 6 atoms:
1 Mg 0.000 0.321 0.917  -0.02
2 Mg 0.500 0.679 0.417  -0.02
3 F 0.000 0.551 0.226  0.00
4 F 0.500 0.449 0.726  0.00
5 Fe 0.500 0.057 0.426  3.42
6 Fe 0.000 0.943 0.926  3.42

Properties
**SG**: Pmn2_1 (31)
**Energy above the lowest structure with this stoichiometry**: 27.0 meV per atom
**V**: 90.4 Å³ per cell
**ρ**: 3.64 g cm⁻³